# Pm5Mg2Tl, relaxed, DFT GGA-PBE
# * calculated volume: 504.1 Å³ per cell
# * magnetic moment: 0.00 μB/cell
# * mass density: 6.44 g/cm³
# * energy above the most stable polymorph in this dataset: 57 meV per atom
# * formation enthalpy at 0 K: -4 kJ/mol of atoms
# * total DFT energy (no corrections): -59.3 eV per cell
data_Pm5Mg2Tl
_chemical_formula_sum 'Pm10 Mg4 Tl2'
_cell_length_a 9.668
_cell_length_b 9.668
_cell_length_c 9.668
_cell_angle_alpha 130.96
_cell_angle_beta 130.96
_cell_angle_gamma 71.88
_space_group_name_H-M_alt 'P 1'
_space_group_IT_number 1
_space_group_name_Hall 'P 1'
loop_
_atom_site_label
_atom_site_type_symbol
_atom_site_fract_x
_atom_site_fract_y
_atom_site_fract_z
Pm1 Pm 0.000 0.000 0.000
Pm2 Pm 0.005 0.505 0.826
Pm3 Pm 0.179 0.005 0.500
Pm4 Pm 0.321 0.821 0.826
Pm5 Pm 0.495 0.321 0.500
Pm6 Pm 0.500 0.500 0.000
Pm7 Pm 0.505 0.679 0.500
Pm8 Pm 0.679 0.179 0.174
Pm9 Pm 0.821 0.995 0.500
Pm10 Pm 0.995 0.495 0.174
Mg1 Mg 0.127 0.373 0.500
Mg2 Mg 0.373 0.873 0.247
Mg3 Mg 0.627 0.127 0.753
Mg4 Mg 0.873 0.627 0.500
Tl1 Tl 0.250 0.250 0.000
Tl2 Tl 0.750 0.750 0.000